Below is an optimized crystal structure of LaEu2Cu, with properties calculated at the PBE level.

Structure (CIF):
```
data_LaEu2Cu
_space_group_name_H-M_alt 'P 4/m m m'
_space_group_IT_number 123
_space_group_name_Hall '-P 4 2'
_cell_length_a 3.680
_cell_length_b 3.680
_cell_length_c 9.340
_cell_angle_alpha 90.00
_cell_angle_beta 90.00
_cell_angle_gamma 90.00
loop_
_atom_site_label
_atom_site_type_symbol
_atom_site_fract_x
_atom_site_fract_y
_atom_site_fract_z
La1 La 0.000 0.000 0.000
Eu1 Eu 0.500 0.500 0.312
Cu1 Cu 0.000 0.000 0.500
```

Summary:
ΔH_f (0 K)	0.004	eV per atom
total magnetization	14.7	μB per formula unit
ΔE to the lowest computed polymorph	0.00	eV per formula unit